Record 1
DFT (PBE) results for crystalline LiBe2I at its relaxed geometry.

a b c (Å): 4.552 4.552 4.552
angles (deg): 60.00 60.00 60.00
Atoms (fractional coordinates):
I 0.500 0.500 0.500
Be 0.250 0.250 0.250
Be 0.750 0.750 0.750
Li 0.000 0.000 0.000

Final energy in eV per atom: -1.66
Symmetry: No. 225
Total moment in μB/f.u.: 0.0

Record 2
DFT (PBE) results for crystalline Li2BeI4 at its relaxed geometry.

a b c (Å): 6.664 6.664 7.960
angles (deg): 114.75 114.75 90.00
Atoms (fractional coordinates):
Li 0.000 0.500 0.000
Li 0.500 0.000 0.000
Be 0.000 0.000 0.000
I 0.899 0.899 0.221
I 0.322 0.322 0.221
I 0.678 0.101 0.779
I 0.101 0.678 0.779

Final energy in eV per atom: -2.89
Symmetry: No. 121
Total moment in μB/f.u.: 0.0

Record 3
DFT (PBE) results for crystalline Li3BeI at its relaxed geometry.

a b c (Å): 4.851 4.851 4.851
angles (deg): 90.00 90.00 90.00
Last column: magnetic moment on the atom in μB.
Atoms (fractional coordinates):
I 0.500 0.500 0.500  0.05
Be 0.000 0.000 0.000  0.32
Li 0.000 0.500 0.000  0.03
Li 0.000 0.000 0.500  0.05
Li 0.500 0.000 0.000  0.04

Final energy in eV per atom: -2.00
Symmetry: No. 221
Total moment in μB/f.u.: 1.9

Number 1: formation energy (no corrections) 1.0654 eV/atom, relative energy among the computed polymorphs 0.490 eV/atom. Number 2: formation energy (no corrections) -0.9281 eV/atom, relative energy among the computed polymorphs 0.000 eV/atom. Number 3: formation energy (no corrections) 0.2046 eV/atom, relative energy among the computed polymorphs 0.000 eV/atom.